Entry 1:
# GGA-PBEsol TiTl3Cu, relaxed
# total magnetic moment	0.0	μB per formula unit
# volume	29.666	A^3/atom
# uncorrected energy	-3.19	eV per atom
# density	8.11	g/cm³
# energy relative to the elements	445	kJ/mol of formula units
data_TiTl3Cu
_chemical_formula_sum 'Ti1 Tl3 Cu1'
_cell_length_a 5.294
_cell_length_b 5.294
_cell_length_c 5.294
_cell_angle_alpha 90.00
_cell_angle_beta 90.00
_cell_angle_gamma 90.00
_symmetry_space_group_name_H-M 'P m -3 m'
_symmetry_Int_Tables_number 221
_symmetry_space_group_name_Hall '-P 4 2 3'
loop_
_atom_site_label
_atom_site_type_symbol
_atom_site_fract_x
_atom_site_fract_y
_atom_site_fract_z
_atom_site_occupancy
Ti1 Ti 0.000 0.000 0.000 1
Tl1 Tl 0.000 0.000 0.500 1
Cu1 Cu 0.500 0.500 0.500 1



Entry 2:
# GGA-PBEsol TiCu2W, relaxed
# total magnetic moment	0.0	μB per formula unit
# volume	13.636	A^3/atom
# uncorrected energy	-7.43	eV per atom
# density	10.92	g/cm³
# energy relative to the elements	105	kJ/mol of formula units
data_TiCu2W
_chemical_formula_sum 'Ti4 Cu8 W4'
_cell_length_a 6.020
_cell_length_b 6.020
_cell_length_c 6.020
_cell_angle_alpha 90.00
_cell_angle_beta 90.00
_cell_angle_gamma 90.00
_symmetry_space_group_name_H-M 'F m -3 m'
_symmetry_Int_Tables_number 225
_symmetry_space_group_name_Hall '-F 4 2 3'
loop_
_atom_site_label
_atom_site_type_symbol
_atom_site_fract_x
_atom_site_fract_y
_atom_site_fract_z
_atom_site_occupancy
Ti1 Ti 0.000 0.000 0.000 1
Cu1 Cu 0.250 0.250 0.250 1
W1 W 0.000 0.000 0.500 1



Entry 3:
# GGA-PBEsol TiCuW2, relaxed
# total magnetic moment	0.0	μB per formula unit
# volume	14.539	A^3/atom
# uncorrected energy	-9.61	eV per atom
# density	13.68	g/cm³
# energy relative to the elements	178	kJ/mol of formula units
data_TiCuW2
_chemical_formula_sum 'Ti4 Cu4 W8'
_cell_length_a 6.150
_cell_length_b 6.150
_cell_length_c 6.150
_cell_angle_alpha 90.00
_cell_angle_beta 90.00
_cell_angle_gamma 90.00
_symmetry_space_group_name_H-M 'F m -3 m'
_symmetry_Int_Tables_number 225
_symmetry_space_group_name_Hall '-F 4 2 3'
loop_
_atom_site_label
_atom_site_type_symbol
_atom_site_fract_x
_atom_site_fract_y
_atom_site_fract_z
_atom_site_occupancy
Ti1 Ti 0.000 0.000 0.000 1
Cu1 Cu 0.000 0.000 0.500 1
W1 W 0.250 0.250 0.250 1



The highest density belongs to which entry? TiCuW2



Please write out number 2 again, unchanged.
# GGA-PBEsol TiCu2W, relaxed
# total magnetic moment	0.0	μB per formula unit
# volume	13.636	A^3/atom
# uncorrected energy	-7.43	eV per atom
# density	10.92	g/cm³
# energy relative to the elements	105	kJ/mol of formula units
data_TiCu2W
_chemical_formula_sum 'Ti4 Cu8 W4'
_cell_length_a 6.020
_cell_length_b 6.020
_cell_length_c 6.020
_cell_angle_alpha 90.00
_cell_angle_beta 90.00
_cell_angle_gamma 90.00
_symmetry_space_group_name_H-M 'F m -3 m'
_symmetry_Int_Tables_number 225
_symmetry_space_group_name_Hall '-F 4 2 3'
loop_
_atom_site_label
_atom_site_type_symbol
_atom_site_fract_x
_atom_site_fract_y
_atom_site_fract_z
_atom_site_occupancy
Ti1 Ti 0.000 0.000 0.000 1
Cu1 Cu 0.250 0.250 0.250 1
W1 W 0.000 0.000 0.500 1